This record from the Alexandria database describes a relaxed CsAgBr2 crystal. The functional is PBE.

Lattice parameters (Å, degrees): 5.357 5.357 10.442 90.00 90.00 90.00
Fractional positions:
Cs1 0.500 0.000 0.704
Cs2 0.000 0.500 0.296
Ag1 0.500 0.000 0.099
Ag2 0.000 0.500 0.901
Br1 0.000 0.000 0.000
Br2 0.500 0.000 0.354
Br3 0.000 0.500 0.646
Br4 0.500 0.500 0.000

Computed properties:
Total DFT energy (no corrections) = -2.84 eV per atom
Raw formation energy = -1078 meV per atom
Magnetization = 0.00 μB per formula unit


This record from the Alexandria database describes a relaxed Cu7BiO12 crystal. The functional is PBE.

Lattice parameters (Å, degrees): 6.375 6.375 6.375 109.47 109.47 109.47
Fractional positions:
Cu1 0.500 0.000 0.500
Cu2 0.500 0.500 0.000
Cu3 0.000 0.500 0.500
Cu4 0.000 0.000 0.500
Cu5 0.500 0.000 0.000
Cu6 0.500 0.500 0.500
Cu7 0.000 0.500 0.000
Bi1 0.000 0.000 0.000
O1 0.311 0.172 0.483
O2 0.311 0.828 0.139
O3 0.689 0.828 0.517
O4 0.689 0.172 0.861
O5 0.483 0.311 0.172
O6 0.861 0.689 0.172
O7 0.517 0.689 0.828
O8 0.139 0.311 0.828
O9 0.828 0.139 0.311
O10 0.172 0.861 0.689
O11 0.172 0.483 0.311
O12 0.828 0.517 0.689

Computed properties:
Total DFT energy (no corrections) = -5.13 eV per atom
Raw formation energy = -529 meV per atom
Magnetization = 0.00 μB per formula unit


This record from the Alexandria database describes a relaxed YAl4Cr crystal. The functional is PBE.

Lattice parameters (Å, degrees): 5.378 5.378 5.378 60.00 60.00 60.00
Fractional positions:
Y1 0.000 0.000 0.000
Al1 0.875 0.375 0.375
Al2 0.375 0.375 0.875
Al3 0.375 0.875 0.375
Al4 0.375 0.375 0.375
Cr1 0.750 0.750 0.750

Computed properties:
Total DFT energy (no corrections) = -5.29 eV per atom
Magnetization = 2.62 μB per formula unit
Energy of formation = -0.11 eV per atom


This record from the Alexandria database describes a relaxed ErS6F2 crystal. The functional is PBE.

Lattice parameters (Å, degrees): 7.977 7.977 3.696 84.70 84.70 112.98
Fractional positions:
Er1 0.000 0.000 0.000
S1 0.764 0.506 0.956
S2 0.236 0.494 0.044
S3 0.322 0.322 0.771
S4 0.506 0.764 0.956
S5 0.494 0.236 0.044
S6 0.678 0.678 0.229
F1 0.906 0.094 0.500
F2 0.094 0.906 0.500

Computed properties:
Total DFT energy (no corrections) = -4.75 eV per atom
Raw formation energy = -1071 meV per atom
Magnetization = 0.75 μB per formula unit


This record from the Alexandria database describes a relaxed Y2SiCl crystal. The functional is PBE.

Lattice parameters (Å, degrees): 6.477 6.477 6.477 143.43 143.43 52.69
Fractional positions:
Cl1 0.500 0.500 0.000
Si1 0.750 0.250 0.500
Y1 0.000 0.000 0.000
Y2 0.250 0.750 0.500

Computed properties:
Total DFT energy (no corrections) = -5.70 eV per atom
Raw formation energy = -646 meV per atom
Magnetization = 0.72 μB per formula unit


This record from the Alexandria database describes a relaxed AgHgTe2 crystal. The functional is PBE.

Lattice parameters (Å, degrees): 8.627 8.627 8.627 29.82 29.82 29.82
Fractional positions:
Te1 0.890 0.890 0.890
Te2 0.110 0.110 0.110
Hg1 0.000 0.000 0.000
Ag1 0.500 0.500 0.500

Computed properties:
Total DFT energy (no corrections) = -2.32 eV per atom
Raw formation energy = 39 meV per atom
Magnetization = 0.00 μB per formula unit


This record from the Alexandria database describes a relaxed Ac5Sm4Ho crystal. The functional is PBE.

Lattice parameters (Å, degrees): 3.875 3.875 25.753 90.00 90.00 90.00
Fractional positions:
Ac1 0.500 0.500 0.097
Ac2 0.500 0.500 0.298
Ac3 0.500 0.500 0.500
Ac4 0.500 0.500 0.702
Ac5 0.500 0.500 0.903
Sm1 0.000 0.000 0.197
Sm2 0.000 0.000 0.399
Sm3 0.000 0.000 0.601
Sm4 0.000 0.000 0.803
Ho1 0.000 0.000 0.000

Computed properties:
Total DFT energy (no corrections) = -4.36 eV per atom
Magnetization = 0.00 μB per formula unit
Energy of formation = 0.04 eV per atom


This record from the Alexandria database describes a relaxed Sm2Dy6Er3Pb crystal. The functional is PBE.

Lattice parameters (Å, degrees): 6.084 6.084 11.720 94.98 94.98 120.02
Fractional positions:
Sm1 0.334 0.666 0.000
Sm2 0.666 0.334 0.000
Dy1 0.917 0.589 0.749
Dy2 0.756 0.756 0.252
Dy3 0.083 0.411 0.251
Dy4 0.589 0.917 0.749
Dy5 0.244 0.244 0.748
Dy6 0.411 0.083 0.251
Er1 0.167 0.833 0.500
Er2 0.833 0.167 0.500
Er3 0.500 0.500 0.500
Pb1 0.000 0.000 0.000

Computed properties:
Total DFT energy (no corrections) = -4.60 eV per atom
Magnetization = 0.00 μB per formula unit
Energy of formation = -0.06 eV per atom


This record from the Alexandria database describes a relaxed Pm2Dy4HoEr crystal. The functional is PBE.

Lattice parameters (Å, degrees): 9.498 9.498 11.785 128.34 128.34 88.51
Fractional positions:
Pm1 0.500 0.000 0.000
Pm2 0.500 0.000 0.500
Pm3 0.000 0.000 0.500
Pm4 0.500 0.500 0.000
Dy1 0.245 0.752 0.999
Dy2 0.748 0.255 0.501
Dy3 0.252 0.745 0.499
Dy4 0.755 0.248 0.001
Dy5 0.752 0.748 0.997
Dy6 0.752 0.748 0.503
Dy7 0.248 0.252 0.497
Dy8 0.248 0.252 0.003
Ho1 0.000 0.500 0.000
Ho2 0.000 0.500 0.500
Er1 0.500 0.500 0.500
Er2 0.000 0.000 0.000

Computed properties:
Total DFT energy (no corrections) = -4.20 eV per atom
Magnetization = 3.12 μB per formula unit
Energy of formation = 0.43 eV per atom


This record from the Alexandria database describes a relaxed UTe2Pd crystal. The functional is PBE.

Lattice parameters (Å, degrees): 3.832 4.896 4.896 90.00 90.00 90.00
Fractional positions:
Te1 0.000 0.000 0.500
Te2 0.000 0.500 0.000
U1 0.500 0.000 0.000
Pd1 0.500 0.500 0.500

Computed properties:
Total DFT energy (no corrections) = -6.15 eV per atom
Raw formation energy = -457 meV per atom
Magnetization = 2.30 μB per formula unit


This record from the Alexandria database describes a relaxed Pa3Fe2P3 crystal. The functional is PBE.

Lattice parameters (Å, degrees): 3.910 5.458 13.742 90.00 90.00 110.99
Fractional positions:
Pa1 0.923 0.846 0.392
Pa2 0.077 0.154 0.892
Pa3 0.923 0.846 0.108
Pa4 0.077 0.154 0.608
Pa5 0.638 0.276 0.250
Pa6 0.362 0.724 0.750
Fe1 0.776 0.552 0.895
Fe2 0.224 0.448 0.395
Fe3 0.776 0.552 0.605
Fe4 0.224 0.448 0.105
P1 0.636 0.271 0.454
P2 0.364 0.729 0.954
P3 0.636 0.271 0.046
P4 0.364 0.729 0.546
P5 0.348 0.696 0.250
P6 0.652 0.304 0.750

Computed properties:
Total DFT energy (no corrections) = -8.64 eV per atom
Magnetization = 0.00 μB per formula unit
Energy of formation = -0.94 eV per atom


This record from the Alexandria database describes a relaxed PrSn2Pt4 crystal. The functional is PBE.

Lattice parameters (Å, degrees): 4.268 8.019 16.638 90.00 90.00 90.00
Fractional positions:
Pr1 0.750 0.916 0.651
Pr2 0.250 0.084 0.349
Pr3 0.250 0.416 0.849
Pr4 0.750 0.584 0.151
Sn1 0.250 0.746 0.511
Sn2 0.750 0.254 0.489
Sn3 0.750 0.246 0.989
Sn4 0.250 0.754 0.011
Sn5 0.250 0.859 0.816
Sn6 0.750 0.141 0.184
Sn7 0.750 0.359 0.684
Sn8 0.250 0.641 0.316
Pt1 0.250 0.154 0.717
Pt2 0.750 0.846 0.283
Pt3 0.750 0.654 0.783
Pt4 0.250 0.346 0.217
Pt5 0.250 0.609 0.671
Pt6 0.750 0.391 0.329
Pt7 0.750 0.109 0.829
Pt8 0.250 0.891 0.171
Pt9 0.250 0.084 0.546
Pt10 0.750 0.916 0.454
Pt11 0.750 0.584 0.954
Pt12 0.250 0.416 0.046
Pt13 0.250 0.437 0.445
Pt14 0.750 0.563 0.555
Pt15 0.750 0.937 0.055
Pt16 0.250 0.063 0.945

Computed properties:
Total DFT energy (no corrections) = -5.98 eV per atom
Magnetization = 0.00 μB per formula unit
Energy of formation = -0.70 eV per atom


This record from the Alexandria database describes a relaxed KTi3P crystal. The functional is PBE.

Lattice parameters (Å, degrees): 4.416 4.416 4.416 90.00 90.00 90.00
Fractional positions:
P1 0.500 0.500 0.500
K1 0.000 0.000 0.000
Ti1 0.000 0.500 0.000
Ti2 0.000 0.000 0.500
Ti3 0.500 0.000 0.000

Computed properties:
Total DFT energy (no corrections) = -4.05 eV per atom
Magnetization = 0.95 μB per formula unit
Energy of formation = 1.99 eV per atom


This record from the Alexandria database describes a relaxed CuPtSe2N crystal. The functional is PBE.

Lattice parameters (Å, degrees): 4.917 4.917 3.479 90.00 90.00 90.00
Fractional positions:
Cu1 0.000 0.000 0.000
Se1 0.000 0.500 0.000
Se2 0.500 0.000 0.000
Pt1 0.500 0.500 0.500
N1 0.000 0.000 0.500

Computed properties:
Total DFT energy (no corrections) = -4.08 eV per atom
Raw formation energy = 1002 meV per atom
Magnetization = 1.50 μB per formula unit


This record from the Alexandria database describes a relaxed Cu4PtAu crystal. The functional is PBE.

Lattice parameters (Å, degrees): 4.857 4.857 4.857 60.00 60.00 60.00
Fractional positions:
Cu1 0.874 0.375 0.375
Cu2 0.375 0.375 0.874
Cu3 0.375 0.874 0.375
Cu4 0.375 0.375 0.375
Pt1 0.750 0.750 0.750
Au1 0.000 0.000 0.000

Computed properties:
Total DFT energy (no corrections) = -4.30 eV per atom
Magnetization = 0.00 μB per formula unit
Energy of formation = -0.01 eV per atom


This record from the Alexandria database describes a relaxed Rb2DyPtO6 crystal. The functional is PBE.

Lattice parameters (Å, degrees): 5.981 5.981 5.981 60.00 60.00 60.00
Fractional positions:
Rb1 0.750 0.750 0.750
Rb2 0.250 0.250 0.250
Dy1 0.500 0.500 0.500
Pt1 0.000 0.000 0.000
O1 0.233 0.767 0.767
O2 0.233 0.767 0.233
O3 0.233 0.233 0.767
O4 0.767 0.767 0.233
O5 0.767 0.233 0.233
O6 0.767 0.233 0.767

Computed properties:
Total DFT energy (no corrections) = -5.67 eV per atom
Raw formation energy = -1436 meV per atom
Magnetization = 2.79 μB per formula unit


This record from the Alexandria database describes a relaxed NbNiSe2 crystal. The functional is PBE.

Lattice parameters (Å, degrees): 4.521 4.521 4.521 60.00 60.00 60.00
Fractional positions:
Ni1 0.000 0.000 0.000
Nb1 0.500 0.500 0.500
Se1 0.250 0.250 0.250
Se2 0.750 0.750 0.750

Computed properties:
Total DFT energy (no corrections) = -5.79 eV per atom
Raw formation energy = -82 meV per atom
Magnetization = 0.93 μB per formula unit


This record from the Alexandria database describes a relaxed AcDy5Y4 crystal. The functional is PBE.

Lattice parameters (Å, degrees): 3.597 11.114 8.826 90.58 101.78 90.00
Fractional positions:
Ac1 0.500 0.000 0.000
Dy1 0.173 0.547 0.347
Dy2 0.176 0.944 0.353
Dy3 0.824 0.056 0.647
Dy4 0.500 0.500 0.000
Dy5 0.827 0.453 0.653
Y1 0.653 0.249 0.306
Y2 0.973 0.257 0.946
Y3 0.347 0.751 0.694
Y4 0.027 0.743 0.054

Computed properties:
Total DFT energy (no corrections) = -5.09 eV per atom
Magnetization = 0.00 μB per formula unit
Energy of formation = 0.21 eV per atom


This record from the Alexandria database describes a relaxed Na2PaNb2S6 crystal. The functional is PBE.

Lattice parameters (Å, degrees): 6.221 6.221 7.218 96.99 96.99 117.58
Fractional positions:
Na1 0.825 0.175 0.000
Na2 0.175 0.825 0.000
Pa1 0.000 0.000 0.500
Nb1 0.363 0.637 0.500
Nb2 0.637 0.363 0.500
S1 0.728 0.728 0.738
S2 0.057 0.413 0.708
S3 0.272 0.272 0.262
S4 0.413 0.057 0.708
S5 0.943 0.587 0.292
S6 0.587 0.943 0.292

Computed properties:
Total DFT energy (no corrections) = -6.46 eV per atom
Raw formation energy = -1273 meV per atom
Magnetization = 0.94 μB per formula unit


This record from the Alexandria database describes a relaxed LiEr3C crystal. The functional is PBE.

Lattice parameters (Å, degrees): 4.913 4.913 4.913 90.00 90.00 90.00
Fractional positions:
C1 0.000 0.000 0.000
Li1 0.500 0.500 0.500
Er1 0.000 0.500 0.000
Er2 0.000 0.000 0.500
Er3 0.500 0.000 0.000

Computed properties:
Total DFT energy (no corrections) = -5.04 eV per atom
Magnetization = 0.01 μB per formula unit
Energy of formation = -0.08 eV per atom